Here is a geometry-optimized Tb2InSnPd4 structure from OQMD via LeMat-Bulk. Energies are from PBE-GGA.

Properties
Total moment (Bohr magnetons per cell): 0.0
DFT total energy (eV/atom): -5.441
SG: P-3m1 (164)

Geometry as CIF:
```
data_Tb2InSnPd4
_symmetry_space_group_name_H-M 'P 1'
_symmetry_Int_Tables_number 1
_symmetry_space_group_name_Hall 'P 1'
_cell_length_a 4.605
_cell_length_b 4.605
_cell_length_c 8.945
_cell_angle_alpha 90.00
_cell_angle_beta 90.00
_cell_angle_gamma 120.00
loop_
_atom_site_label
_atom_site_type_symbol
_atom_site_fract_x
_atom_site_fract_y
_atom_site_fract_z
In1 In 0.000 0.000 0.500
Pd1 Pd 0.667 0.333 0.086
Pd2 Pd 0.667 0.333 0.414
Pd3 Pd 0.333 0.667 0.586
Pd4 Pd 0.333 0.667 0.914
Sn1 Sn 0.000 0.000 0.000
Tb1 Tb 0.333 0.667 0.250
Tb2 Tb 0.667 0.333 0.750
```



Here is a geometry-optimized Tm2InSnPd4 structure from OQMD via LeMat-Bulk. Energies are from PBE-GGA.

Properties
Total moment (Bohr magnetons per cell): 0.0
DFT total energy (eV/atom): -5.407
SG: P-3m1 (164)

Geometry as CIF:
```
data_Tm2InSnPd4
_symmetry_space_group_name_H-M 'P 1'
_symmetry_Int_Tables_number 1
_symmetry_space_group_name_Hall 'P 1'
_cell_length_a 4.574
_cell_length_b 4.574
_cell_length_c 8.847
_cell_angle_alpha 90.00
_cell_angle_beta 90.00
_cell_angle_gamma 120.00
loop_
_atom_site_label
_atom_site_type_symbol
_atom_site_fract_x
_atom_site_fract_y
_atom_site_fract_z
In1 In 0.000 0.000 0.000
Pd1 Pd 0.667 0.333 0.087
Pd2 Pd 0.667 0.333 0.412
Pd3 Pd 0.333 0.667 0.588
Pd4 Pd 0.333 0.667 0.913
Sn1 Sn 0.000 0.000 0.500
Tm1 Tm 0.333 0.667 0.250
Tm2 Tm 0.667 0.333 0.750
```



Question: Among the records above, which one has the highest DFT total energy?
Answer: Tm2InSnPd4